1.
# ErAl2Ga3, optimized geometry, DFT GGA-PBE
# Energy of formation from the pure elements ... -0.30 eV/atom
# Calculated density ... 6.4 g/cm3
# N(E_F) ... 2.13 states/eV/cell
# Distance to the lowest polymorph of the same formula ... 0 meV/atom
data_ErAl2Ga3
_chemical_formula_sum 'Er1 Al2 Ga3'
_symmetry_space_group_name_H-M 'P -3 m 1'
_symmetry_Int_Tables_number 164
_symmetry_space_group_name_Hall '-P 3 2"'
_cell_length_a 4.5775
_cell_length_b 4.5775
_cell_length_c 6.1762
_cell_angle_alpha 90.00
_cell_angle_beta 90.00
_cell_angle_gamma 120.00
loop_
_atom_site_label
_atom_site_type_symbol
_atom_site_fract_x
_atom_site_fract_y
_atom_site_fract_z
_atom_site_occupancy
Er1 Er 0.0000 0.0000 0.0000 1
Al1 Al 0.3333 0.6667 0.7000 1
Ga1 Ga 0.0000 0.0000 0.5000 1
Ga2 Ga 0.3333 0.6667 0.2550 1

2.
# BeSn2Pd6, optimized geometry, DFT GGA-PBE
# Energy of formation from the pure elements ... -0.38 eV/atom
# Calculated density ... 9.3 g/cm3
# N(E_F) ... 5.95 states/eV/cell
data_BeSn2Pd6
_chemical_formula_sum 'Be2 Sn4 Pd12'
_symmetry_space_group_name_H-M 'C 1 2/m 1'
_symmetry_Int_Tables_number 12
_cell_length_a 12.9543
_cell_length_b 6.6437
_cell_length_c 3.8642
_cell_angle_alpha 90.00
_cell_angle_beta 107.22
_cell_angle_gamma 90.00
loop_
_symmetry_equiv_pos_as_xyz
'x,y,z'
'-x,-y,-z'
'-x,y,-z'
'x,-y,z'
'x+1/2,y+1/2,z'
'-x+1/2,-y+1/2,-z'
'-x+1/2,y+1/2,-z'
'x+1/2,-y+1/2,z'
loop_
_atom_site_label
_atom_site_type_symbol
_atom_site_fract_x
_atom_site_fract_y
_atom_site_fract_z
_atom_site_occupancy
Be1 Be 0.0000 0.0000 0.0000 1
Sn1 Sn 0.1496 0.5000 0.6493 1
Pd1 Pd 0.0000 0.2063 0.5000 1
Pd2 Pd 0.1629 0.2145 0.1624 1

The highest calculated density belongs to which entry?
BeSn2Pd6